No. 1
! PBE PmNd3Tl2, relaxed; values from VASP
! ΔH_f (0 K)   -173 meV/atom
! Crystal system   monoclinic
! Space group   No. 12
&SYSTEM
  ibrav = 0, nat = 12, ntyp = 3
/
ATOMIC_SPECIES
Pm 145.00 Pm.upf
Nd 144.24 Nd.upf
Tl 204.38 Tl.upf
CELL_PARAMETERS angstrom
-4.733 -1.191 -2.411
0.016 -4.383 8.280
-1.852 9.364 -0.987
ATOMIC_POSITIONS angstrom
Pm -5.821 4.300 3.159
Nd -5.562 0.620 4.468
Nd -2.561 2.695 3.697
Nd -2.362 -0.876 5.070
Nd -4.208 4.667 -0.189
Nd -1.008 3.171 0.413
Nd -4.009 1.096 1.184
Pm -0.749 -0.510 1.722
Tl -2.514 -3.547 6.687
Tl -2.680 5.833 2.381
Tl -3.890 -2.042 2.500
Tl -4.056 7.338 -1.806

No. 2
! PBE PmNd4Tl2, relaxed; values from VASP
! ΔH_f (0 K)   -136 meV/atom
! Crystal system   orthorhombic
! Space group   No. 65
&SYSTEM
  ibrav = 0, nat = 7, ntyp = 3
/
ATOMIC_SPECIES
Nd 144.24 Nd.upf
Tl 204.38 Tl.upf
Pm 145.00 Pm.upf
CELL_PARAMETERS angstrom
-1.935 -4.445 1.117
3.440 0.002 5.968
-5.835 3.049 2.025
ATOMIC_POSITIONS angstrom
Nd -3.885 -0.698 1.571
Nd -1.898 2.417 6.333
Tl 0.837 0.857 4.861
Nd 0.753 -2.221 3.542
Pm -2.165 -0.697 4.555
Tl -3.232 2.194 3.132
Nd -0.497 0.634 1.660

No. 3
! PBE Pm3Nd5Tl2, relaxed; values from VASP
! ΔH_f (0 K)   -109 meV/atom
! Crystal system   monoclinic
! Space group   No. 15
&SYSTEM
  ibrav = 0, nat = 20, ntyp = 3
/
ATOMIC_SPECIES
Nd 144.24 Nd.upf
Pm 145.00 Pm.upf
Tl 204.38 Tl.upf
CELL_PARAMETERS angstrom
6.546 1.070 0.815
4.582 10.643 -1.969
4.582 0.926 10.784
ATOMIC_POSITIONS angstrom
Nd 11.289 6.641 8.278
Pm 11.142 10.657 2.620
Pm 7.869 4.819 9.173
Nd 8.016 9.208 3.799
Nd 10.491 9.612 6.313
Pm 4.567 1.982 7.011
Tl 7.885 1.507 8.356
Nd 5.218 3.027 3.318
Tl 7.824 11.132 1.275
Pm 7.840 7.820 0.458
Nd 7.693 3.431 5.831
Nd 7.218 8.102 7.185
Tl 11.097 4.718 10.803
Nd 9.491 6.285 5.416
Nd 6.218 6.354 4.215
Nd 4.420 5.998 1.353
Tl 4.612 7.921 -1.172
Pm 9.491 1.968 11.081
Nd 8.492 4.537 2.446
Pm 6.218 10.671 -1.450

No. 4
! PBE PmNd2Tl4, relaxed; values from VASP
! ΔH_f (0 K)   -317 meV/atom
! Crystal system   monoclinic
! Space group   No. 9
&SYSTEM
  ibrav = 0, nat = 14, ntyp = 3
/
ATOMIC_SPECIES
Pm 145.00 Pm.upf
Nd 144.24 Nd.upf
Tl 204.38 Tl.upf
CELL_PARAMETERS angstrom
-3.673 3.354 -7.403
3.531 -5.406 -1.586
-5.922 -3.199 5.558
ATOMIC_POSITIONS angstrom
Pm -0.817 -4.927 0.082
Nd -1.053 -2.410 -4.998
Tl -1.360 -2.215 -1.826
Tl -5.749 -2.780 2.286
Nd -3.507 -5.055 2.923
Tl -5.959 0.044 -1.700
Pm -3.618 2.988 -6.995
Tl -1.745 0.147 -7.011
Tl -3.896 -5.877 -0.466
Nd -3.371 -0.096 -4.107
Tl -2.309 -2.243 1.623
Nd -4.403 -2.716 -0.948
Tl -4.311 -3.199 -4.421
Tl 0.809 -4.632 -2.692